Entry from the Alexandria database: CuSCl6 after structural relaxation (GGA-PBE).

The density of states at the Fermi level comes out at 6.6 states/eV/cell. As for the total energy: -2.5070 eV/atom. The volume comes out at 22.5 Å³ per atom.

It has space group P-1 (No. 2), with a = 6.1860 Å, b = 6.1924 Å, c = 6.4891 Å, α = 61.53°, β = 61.63° and γ = 60.05°. The inequivalent atoms are Cu at (0.0000, 0.0000, 0.0000), S at (0.5000, 0.5000, 0.5000), Cl at (0.1253, 0.3844, 0.7474), Cl at (0.2566, 0.8755, 0.2522) and Cl at (0.3850, 0.7425, 0.7470).